This record from Alexandria via LeMat-Bulk describes an optimized crystal structure of Tb4Sm4In. The functional is PBE-GGA.

Results
- E_form: -0.65 eV/f.u.
- Size of the total moment: 0.0 μB/f.u.

```
9
Lattice="-5.3567 5.3567 2.4745 5.3567 -5.3567 2.4745 5.3567 5.3567 -2.4745" Properties=species:S:1:pos:R:3 pbc="T T T"
Tb 3.5865 0.0000 0.0000
Tb 7.1269 0.0000 0.0000
Tb 0.0000 3.5865 0.0000
Tb 0.0000 7.1269 0.0000
Sm 3.6283 3.6283 0.0000
Sm 1.7283 -1.7283 2.4745
Sm -1.7283 1.7283 2.4745
Sm 1.7283 1.7283 2.4745
In 0.0000 0.0000 0.0000
```


This record from Alexandria via LeMat-Bulk describes an optimized crystal structure of Pm6HgAu2. The functional is PBE-GGA.

Results
- E_form: -2.50 eV/f.u.
- Size of the total moment: 0.0 μB/f.u.

```
9
Lattice="8.1001 -3.6409 0.0000 8.1001 3.6409 0.0000 -1.6330 0.0000 4.8939" Properties=species:S:1:pos:R:3 pbc="T T T"
Pm 4.8128 1.8561 1.6167
Pm 8.1001 1.8857 0.0000
Pm 9.7544 1.8561 3.2772
Pm 4.8128 -1.8561 1.6167
Pm 8.1001 -1.8857 0.0000
Pm 9.7544 -1.8561 3.2772
Hg 7.2836 0.0000 2.4470
Au 2.4356 0.0000 0.8190
Au 12.1317 0.0000 4.0749
```